The following is a PBE-GGA calculation of a geometry-optimized TaNbRh2 structure, from the Alexandria database.

abc: 2.886 2.886 7.683
angles: 90.00 90.00 90.00
Space group P4/mmm (No. 123)
Symmetry-distinct sites (fractional):
Ta  0.000  0.000  0.000 x1
Nb  0.000  0.000  0.500 x1
Rh  0.500  0.500  0.246 x2

Computed properties:
- ΔH_f (0 K) (eV per atom) = -0.452
- volume (Å³ per cell) = 64.0
- calculated total energy (Ha/atom) = -0.35309